Entry from Alexandria: a relaxed structure of TbIrSe (GGA-PBE).

Results
formation energy from raw total energies = -9.998 kcal/mol of atoms
calculated density = 10.8 Mg/m³

a b c (Å): 10.568 3.731 6.723
angles (deg): 90.00 90.00 90.00
Space group Amm2 (No. 38)
Unique sites:
Tb1 0.169 0.000 0.000 x4
Ir1 0.000 0.000 0.672 x2
Ir2 0.500 0.000 0.971 x2
Se1 0.360 0.000 0.668 x4